Entry from Alexandria via LeMat-Bulk: a crystal of KSrAu2 relaxed with PBEsol (meta-GGA SCAN).

mass density: 7.95 g/cm3
formation enthalpy at 0 K: -2.186 eV/f.u.

Lattice parameters (Å, degrees): 4.0087 4.9299 11.0070 90.00 90.00 90.00
Space group Imm2 (No. 44)
Asymmetric unit:
K1 0.0000 0.0000 0.0000 (multiplicity 2)
Sr1 0.0000 0.5000 0.7892 (multiplicity 2)
Au1 0.0000 0.0000 0.5498 (multiplicity 2)
Au2 0.0000 0.5000 0.2292 (multiplicity 2)